# FeCoIrO6 PBE+U relaxed
data_FeCoIrO6
_cell_length_a 5.0829
_cell_length_b 5.0829
_cell_length_c 8.6673
_cell_angle_alpha 90.00
_cell_angle_beta 90.00
_cell_angle_gamma 120.00
_space_group_name_H-M_alt 'P -3 1 c'
_space_group_IT_number 163
_space_group_name_Hall '-P 3 2c'
loop_
_atom_site_label
_atom_site_type_symbol
_atom_site_fract_x
_atom_site_fract_y
_atom_site_fract_z
_atom_site_occupancy
Fe1 Fe 0.3333 0.6667 0.2500 1
Co1 Co 0.0000 0.0000 0.0000 1
Ir1 Ir 0.3333 0.6667 0.7500 1
O1 O 0.0099 0.3514 0.6280 1
# calculated total energy	-6.328	eV per atom
# density of states at the Fermi level	0.566	states/eV/atom